one | An optimized crystal structure of Y3Cd2Hg4. Source: Alexandria, functional PBE.

magnetic moment	0.001	μB/f.u.

Structure (CIF):
```
data_Y3Cd2Hg4
_symmetry_space_group_name_H-M 'C 1 2/m 1'
_symmetry_Int_Tables_number 12
_cell_length_a 11.017
_cell_length_b 4.950
_cell_length_c 9.204
_cell_angle_alpha 90.00
_cell_angle_beta 118.50
_cell_angle_gamma 90.00
loop_
_symmetry_equiv_pos_as_xyz
'x,y,z'
'-x,-y,-z'
'-x,y,-z'
'x,-y,z'
'x+1/2,y+1/2,z'
'-x+1/2,-y+1/2,-z'
'-x+1/2,y+1/2,-z'
'x+1/2,-y+1/2,z'
loop_
_atom_site_label
_atom_site_fract_x
_atom_site_fract_y
_atom_site_fract_z
_atom_site_occupancy
Y1 0.000 0.000 0.000 1
Y2 0.164 0.500 0.670 1
Cd1 0.112 0.500 0.281 1
Hg1 0.066 0.000 0.396 1
Hg2 0.211 0.500 0.048 1
```

two | An optimized crystal structure of Y3Cd2Hg4. Source: Alexandria, functional PBE.

magnetic moment	0.000	μB/f.u.

Structure (CIF):
```
data_Y3Cd2Hg4
_symmetry_space_group_name_H-M 'C 1 2/m 1'
_symmetry_Int_Tables_number 12
_cell_length_a 9.212
_cell_length_b 5.209
_cell_length_c 9.324
_cell_angle_alpha 90.00
_cell_angle_beta 94.67
_cell_angle_gamma 90.00
loop_
_symmetry_equiv_pos_as_xyz
'x,y,z'
'-x,-y,-z'
'-x,y,-z'
'x,-y,z'
'x+1/2,y+1/2,z'
'-x+1/2,-y+1/2,-z'
'-x+1/2,y+1/2,-z'
'x+1/2,-y+1/2,z'
loop_
_atom_site_label
_atom_site_fract_x
_atom_site_fract_y
_atom_site_fract_z
_atom_site_occupancy
Y1 0.000 0.000 0.000 1
Y2 0.154 0.500 0.389 1
Cd1 0.190 0.500 0.744 1
Hg1 0.018 0.000 0.662 1
Hg2 0.171 0.500 0.064 1
```

Q: Which of them is the most stable? A: one.

one | An optimized crystal structure of YCdHg4. Source: Alexandria, functional PBE.

magnetic moment	0.000	μB/f.u.

Structure (CIF):
```
data_YCdHg4
_symmetry_space_group_name_H-M 'C 1 2/m 1'
_symmetry_Int_Tables_number 12
_cell_length_a 5.101
_cell_length_b 8.660
_cell_length_c 6.618
_cell_angle_alpha 90.00
_cell_angle_beta 97.30
_cell_angle_gamma 90.00
loop_
_symmetry_equiv_pos_as_xyz
'x,y,z'
'-x,-y,-z'
'-x,y,-z'
'x,-y,z'
'x+1/2,y+1/2,z'
'-x+1/2,-y+1/2,-z'
'-x+1/2,y+1/2,-z'
'x+1/2,-y+1/2,z'
loop_
_atom_site_label
_atom_site_fract_x
_atom_site_fract_y
_atom_site_fract_z
_atom_site_occupancy
Y1 0.000 0.000 0.000 1
Cd1 0.000 0.000 0.500 1
Hg1 0.028 0.332 0.243 1
```

two | An optimized crystal structure of YCdHg4. Source: Alexandria, functional PBE.

magnetic moment	0.000	μB/f.u.

Structure (CIF):
```
data_YCdHg4
_symmetry_space_group_name_H-M 'F -4 3 m'
_symmetry_Int_Tables_number 216
_symmetry_space_group_name_Hall 'F -4 2 3'
_cell_length_a 8.452
_cell_length_b 8.452
_cell_length_c 8.452
_cell_angle_alpha 90.00
_cell_angle_beta 90.00
_cell_angle_gamma 90.00
loop_
_atom_site_label
_atom_site_fract_x
_atom_site_fract_y
_atom_site_fract_z
_atom_site_occupancy
Y1 0.000 0.000 0.000 1
Cd1 0.250 0.250 0.750 1
Hg1 0.125 0.125 0.375 1
```

three | An optimized crystal structure of YCdHg4. Source: Alexandria, functional PBE.

magnetic moment	0.000	μB/f.u.

Structure (CIF):
```
data_YCdHg4
_symmetry_space_group_name_H-M 'C 1 2/m 1'
_symmetry_Int_Tables_number 12
_cell_length_a 14.287
_cell_length_b 8.620
_cell_length_c 5.124
_cell_angle_alpha 90.00
_cell_angle_beta 102.84
_cell_angle_gamma 90.00
loop_
_symmetry_equiv_pos_as_xyz
'x,y,z'
'-x,-y,-z'
'-x,y,-z'
'x,-y,z'
'x+1/2,y+1/2,z'
'-x+1/2,-y+1/2,-z'
'-x+1/2,y+1/2,-z'
'x+1/2,-y+1/2,z'
loop_
_atom_site_label
_atom_site_fract_x
_atom_site_fract_y
_atom_site_fract_z
_atom_site_occupancy
Y1 0.199 0.000 0.123 1
Cd1 0.059 0.500 0.765 1
Hg1 0.000 0.185 0.000 1
Hg2 0.132 0.194 0.587 1
Hg3 0.167 0.500 0.297 1
```

Q: Which of them is the most stable? A: one.